(a)
# Ir2SeBr, optimized geometry, DFT PBE
data_Ir2SeBr
_cell_length_a 3.8305
_cell_length_b 3.8305
_cell_length_c 9.2283
_cell_angle_alpha 90.00
_cell_angle_beta 90.00
_cell_angle_gamma 90.00
_symmetry_space_group_name_H-M 'I -4 m 2'
_symmetry_Int_Tables_number 119
_symmetry_space_group_name_Hall 'I -4 -2'
loop_
_atom_site_label
_atom_site_type_symbol
_atom_site_fract_x
_atom_site_fract_y
_atom_site_fract_z
_atom_site_occupancy
Ir1 Ir 0.0000 0.0000 0.0000 1
Ir2 Ir 0.0000 0.5000 0.2500 1
Se1 Se 0.0000 0.5000 0.7500 1
Br1 Br 0.0000 0.0000 0.5000 1
# **Fermi-level density of states**: 0.746 states/eV/atom
# **Total moment**: 0.000 μB/atom
# **Theoretical density**: 13.3 g cm⁻³

---

(b)
# Ir2SeBr, optimized geometry, DFT PBE
data_Ir2SeBr
_cell_length_a 3.0328
_cell_length_b 3.0328
_cell_length_c 8.7972
_cell_angle_alpha 90.00
_cell_angle_beta 90.00
_cell_angle_gamma 90.00
_symmetry_space_group_name_H-M 'P 4 m m'
_symmetry_Int_Tables_number 99
_symmetry_space_group_name_Hall 'P 4 -2'
loop_
_atom_site_label
_atom_site_type_symbol
_atom_site_fract_x
_atom_site_fract_y
_atom_site_fract_z
_atom_site_occupancy
Ir1 Ir 0.0000 0.0000 0.0000 1
Ir2 Ir 0.5000 0.5000 0.1936 1
Se1 Se 0.0000 0.0000 0.3644 1
Br1 Br 0.5000 0.5000 0.7816 1
# **Fermi-level density of states**: 1.014 states/eV/atom
# **Total moment**: 0.000 μB/atom
# **Theoretical density**: 11.1 g cm⁻³

---

The structure with the greatest stability is (b).

---

(a)
# Ir2SeBr, optimized geometry, DFT PBE
data_Ir2SeBr
_cell_length_a 2.8960
_cell_length_b 5.2818
_cell_length_c 8.9848
_cell_angle_alpha 90.00
_cell_angle_beta 90.00
_cell_angle_gamma 90.00
_symmetry_space_group_name_H-M 'C m m m'
_symmetry_Int_Tables_number 65
_symmetry_space_group_name_Hall '-C 2 2'
loop_
_atom_site_label
_atom_site_type_symbol
_atom_site_fract_x
_atom_site_fract_y
_atom_site_fract_z
_atom_site_occupancy
Ir1 Ir 0.0000 0.0000 0.2403 1
Se1 Se 0.0000 0.5000 0.0000 1
Br1 Br 0.0000 0.5000 0.5000 1
# **Fermi-level density of states**: 0.906 states/eV/atom
# **Total moment**: 0.000 μB/atom
# **Theoretical density**: 13.1 g cm⁻³

---

(b)
# Ir2SeBr, optimized geometry, DFT PBE
data_Ir2SeBr
_cell_length_a 2.8495
_cell_length_b 5.2351
_cell_length_c 10.2446
_cell_angle_alpha 90.00
_cell_angle_beta 90.00
_cell_angle_gamma 90.00
_symmetry_space_group_name_H-M 'C m m 2'
_symmetry_Int_Tables_number 35
_symmetry_space_group_name_Hall 'C 2 -2'
loop_
_atom_site_label
_atom_site_type_symbol
_atom_site_fract_x
_atom_site_fract_y
_atom_site_fract_z
_atom_site_occupancy
Ir1 Ir 0.0000 0.0000 0.0000 1
Ir2 Ir 0.0000 0.5000 0.2186 1
Se1 Se 0.0000 0.0000 0.4265 1
Br1 Br 0.0000 0.5000 0.7820 1
# **Fermi-level density of states**: 1.266 states/eV/atom
# **Total moment**: 0.000 μB/atom
# **Theoretical density**: 11.8 g cm⁻³

---

(c)
# Ir2SeBr, optimized geometry, DFT PBE
data_Ir2SeBr
_cell_length_a 6.5144
_cell_length_b 6.5144
_cell_length_c 6.5144
_cell_angle_alpha 90.00
_cell_angle_beta 90.00
_cell_angle_gamma 90.00
_symmetry_space_group_name_H-M 'F -4 3 m'
_symmetry_Int_Tables_number 216
_symmetry_space_group_name_Hall 'F -4 2 3'
loop_
_atom_site_label
_atom_site_type_symbol
_atom_site_fract_x
_atom_site_fract_y
_atom_site_fract_z
_atom_site_occupancy
Ir1 Ir 0.0000 0.0000 0.0000 1
Ir2 Ir 0.2500 0.2500 0.2500 1
Se1 Se 0.0000 0.0000 0.5000 1
Br1 Br 0.2500 0.2500 0.7500 1
# **Fermi-level density of states**: 1.208 states/eV/atom
# **Total moment**: 0.000 μB/atom
# **Theoretical density**: 13.1 g cm⁻³

---

The structure with the greatest stability is (b).

---

(a)
# IrSeBr3, optimized geometry, DFT PBE
data_IrSeBr3
_cell_length_a 5.3336
_cell_length_b 5.3336
_cell_length_c 5.3336
_cell_angle_alpha 90.00
_cell_angle_beta 90.00
_cell_angle_gamma 90.00
_symmetry_space_group_name_H-M 'P m -3 m'
_symmetry_Int_Tables_number 221
_symmetry_space_group_name_Hall '-P 4 2 3'
loop_
_atom_site_label
_atom_site_type_symbol
_atom_site_fract_x
_atom_site_fract_y
_atom_site_fract_z
_atom_site_occupancy
Ir1 Ir 0.0000 0.0000 0.0000 1
Se1 Se 0.5000 0.5000 0.5000 1
Br1 Br 0.0000 0.5000 0.5000 1
# **Fermi-level density of states**: 1.680 states/eV/atom
# **Total moment**: 0.630 μB/atom
# **Theoretical density**: 5.6 g cm⁻³

---

(b)
# IrSeBr3, optimized geometry, DFT PBE
data_IrSeBr3
_cell_length_a 5.0783
_cell_length_b 5.0783
_cell_length_c 5.0783
_cell_angle_alpha 90.00
_cell_angle_beta 90.00
_cell_angle_gamma 90.00
_symmetry_space_group_name_H-M 'P m -3 m'
_symmetry_Int_Tables_number 221
_symmetry_space_group_name_Hall '-P 4 2 3'
loop_
_atom_site_label
_atom_site_type_symbol
_atom_site_fract_x
_atom_site_fract_y
_atom_site_fract_z
_atom_site_occupancy
Ir1 Ir 0.0000 0.0000 0.0000 1
Se1 Se 0.5000 0.5000 0.5000 1
Br1 Br 0.0000 0.0000 0.5000 1
# **Fermi-level density of states**: 1.156 states/eV/atom
# **Total moment**: 0.352 μB/atom
# **Theoretical density**: 6.5 g cm⁻³

---

(c)
# IrSeBr3, optimized geometry, DFT PBE
data_IrSeBr3
_cell_length_a 7.4029
_cell_length_b 8.2130
_cell_length_c 12.9739
_cell_angle_alpha 90.00
_cell_angle_beta 91.73
_cell_angle_gamma 90.00
_symmetry_space_group_name_H-M 'P 1 2/c 1'
_symmetry_Int_Tables_number 13
_symmetry_space_group_name_Hall '-P 2yc'
loop_
_atom_site_label
_atom_site_type_symbol
_atom_site_fract_x
_atom_site_fract_y
_atom_site_fract_z
_atom_site_occupancy
Ir1 Ir 0.0618 0.1290 0.1169 1
Se1 Se 0.0400 0.4018 0.1655 1
Br1 Br 0.1099 0.1639 0.5524 1
Br2 Br 0.2190 0.0522 0.2842 1
Br3 Br 0.3433 0.2208 0.0308 1
# **Fermi-level density of states**: 0.287 states/eV/atom
# **Total moment**: 0.000 μB/atom
# **Theoretical density**: 4.3 g cm⁻³

---

The structure with the greatest stability is (c).

---

(a)
# IrSe3Br9, optimized geometry, DFT PBE
data_IrSe3Br9
_cell_length_a 8.0804
_cell_length_b 8.7033
_cell_length_c 14.2211
_cell_angle_alpha 81.94
_cell_angle_beta 87.94
_cell_angle_gamma 69.39
_symmetry_space_group_name_H-M 'P -1'
_symmetry_Int_Tables_number 2
_symmetry_space_group_name_Hall '-P 1'
loop_
_atom_site_label
_atom_site_type_symbol
_atom_site_fract_x
_atom_site_fract_y
_atom_site_fract_z
_atom_site_occupancy
Ir1 Ir 0.2173 0.2867 0.2477 1
Se1 Se 0.3439 0.3591 0.3779 1
Se2 Se 0.3557 0.4253 0.1296 1
Se3 Se 0.4414 0.0123 0.2521 1
Br1 Br 0.0778 0.4839 0.7630 1
Br2 Br 0.1161 0.1316 0.1349 1
Br3 Br 0.1257 0.1100 0.3873 1
Br4 Br 0.1649 0.6191 0.4216 1
Br5 Br 0.2381 0.7154 0.1419 1
Br6 Br 0.2440 0.4390 0.9742 1
Br7 Br 0.3551 0.0417 0.6167 1
Br8 Br 0.3633 0.9766 0.8770 1
Br9 Br 0.3989 0.5783 0.6823 1
# **Fermi-level density of states**: 0.000 states/eV/atom
# **Total moment**: 0.000 μB/atom
# **Theoretical density**: 4.1 g cm⁻³

---

(b)
# IrSe3Br9, optimized geometry, DFT PBE
data_IrSe3Br9
_cell_length_a 8.6044
_cell_length_b 14.4245
_cell_length_c 16.9990
_cell_angle_alpha 90.00
_cell_angle_beta 112.97
_cell_angle_gamma 90.00
_symmetry_space_group_name_H-M 'P 1 21/c 1'
_symmetry_Int_Tables_number 14
_symmetry_space_group_name_Hall '-P 2ybc'
loop_
_atom_site_label
_atom_site_type_symbol
_atom_site_fract_x
_atom_site_fract_y
_atom_site_fract_z
_atom_site_occupancy
Ir1 Ir 0.2358 0.2426 0.1684 1
Se1 Se 0.1859 0.1883 0.2946 1
Se2 Se 0.2240 0.0913 0.1093 1
Se3 Se 0.2821 0.1828 0.5499 1
Br1 Br 0.0644 0.7433 0.9445 1
Br2 Br 0.1066 0.6942 0.2307 1
Br3 Br 0.1867 0.1156 0.7457 1
Br4 Br 0.2004 0.1068 0.9637 1
Br5 Br 0.2198 0.0232 0.2996 1
Br6 Br 0.2665 0.0209 0.5657 1
Br7 Br 0.4287 0.6993 0.9293 1
Br8 Br 0.4701 0.7336 0.2188 1
Br9 Br 0.4857 0.0093 0.1648 1
# **Total moment**: 0.000 μB/atom
# **Theoretical density**: 3.9 g cm⁻³

---

The structure with the greatest stability is (a).

---

(a)
# SrIrSeBr2, optimized geometry, DFT PBE
data_SrIrSeBr2
_cell_length_a 5.1602
_cell_length_b 5.1602
_cell_length_c 5.0160
_cell_angle_alpha 90.00
_cell_angle_beta 90.00
_cell_angle_gamma 90.00
_symmetry_space_group_name_H-M 'P 4/m m m'
_symmetry_Int_Tables_number 123
_symmetry_space_group_name_Hall '-P 4 2'
loop_
_atom_site_label
_atom_site_type_symbol
_atom_site_fract_x
_atom_site_fract_y
_atom_site_fract_z
_atom_site_occupancy
Sr1 Sr 0.0000 0.0000 0.0000 1
Ir1 Ir 0.5000 0.5000 0.5000 1
Se1 Se 0.5000 0.5000 0.0000 1
Br1 Br 0.0000 0.5000 0.5000 1
# **Fermi-level density of states**: 0.781 states/eV/atom
# **Total moment**: 0.000 μB/atom
# **Theoretical density**: 6.4 g cm⁻³

---

(b)
# SrIrSeBr2, optimized geometry, DFT PBE
data_SrIrSeBr2
_cell_length_a 5.7203
_cell_length_b 5.7203
_cell_length_c 6.1024
_cell_angle_alpha 90.00
_cell_angle_beta 90.00
_cell_angle_gamma 90.00
_symmetry_space_group_name_H-M 'P 4/m m m'
_symmetry_Int_Tables_number 123
_symmetry_space_group_name_Hall '-P 4 2'
loop_
_atom_site_label
_atom_site_type_symbol
_atom_site_fract_x
_atom_site_fract_y
_atom_site_fract_z
_atom_site_occupancy
Sr1 Sr 0.0000 0.0000 0.0000 1
Ir1 Ir 0.5000 0.5000 0.5000 1
Se1 Se 0.0000 0.0000 0.5000 1
Br1 Br 0.0000 0.5000 0.0000 1
# **Fermi-level density of states**: 1.251 states/eV/atom
# **Total moment**: 0.699 μB/atom
# **Theoretical density**: 4.3 g cm⁻³

---

The structure with the greatest stability is (a).

---

(a)
# TaIrSeBr2, optimized geometry, DFT PBE
data_TaIrSeBr2
_cell_length_a 5.0997
_cell_length_b 5.0997
_cell_length_c 5.0195
_cell_angle_alpha 90.00
_cell_angle_beta 90.00
_cell_angle_gamma 90.00
_symmetry_space_group_name_H-M 'P 4/m m m'
_symmetry_Int_Tables_number 123
_symmetry_space_group_name_Hall '-P 4 2'
loop_
_atom_site_label
_atom_site_type_symbol
_atom_site_fract_x
_atom_site_fract_y
_atom_site_fract_z
_atom_site_occupancy
Ta1 Ta 0.0000 0.0000 0.0000 1
Ir1 Ir 0.5000 0.5000 0.5000 1
Se1 Se 0.0000 0.0000 0.5000 1
Br1 Br 0.0000 0.5000 0.0000 1
# **Fermi-level density of states**: 1.413 states/eV/atom
# **Total moment**: 0.536 μB/atom
# **Theoretical density**: 7.8 g cm⁻³

---

(b)
# TaIrSeBr2, optimized geometry, DFT PBE
data_TaIrSeBr2
_cell_length_a 4.9429
_cell_length_b 4.9429
_cell_length_c 4.9817
_cell_angle_alpha 90.00
_cell_angle_beta 90.00
_cell_angle_gamma 90.00
_symmetry_space_group_name_H-M 'P 4/m m m'
_symmetry_Int_Tables_number 123
_symmetry_space_group_name_Hall '-P 4 2'
loop_
_atom_site_label
_atom_site_type_symbol
_atom_site_fract_x
_atom_site_fract_y
_atom_site_fract_z
_atom_site_occupancy
Ta1 Ta 0.0000 0.0000 0.0000 1
Ir1 Ir 0.5000 0.5000 0.5000 1
Se1 Se 0.5000 0.5000 0.0000 1
Br1 Br 0.0000 0.5000 0.5000 1
# **Fermi-level density of states**: 0.988 states/eV/atom
# **Total moment**: 0.531 μB/atom
# **Theoretical density**: 8.3 g cm⁻³

---

The structure with the greatest stability is (a).

---

(a)
# ZrIrSeBr2, optimized geometry, DFT PBE
data_ZrIrSeBr2
_cell_length_a 5.3208
_cell_length_b 5.3208
_cell_length_c 5.2027
_cell_angle_alpha 90.00
_cell_angle_beta 90.00
_cell_angle_gamma 90.00
_symmetry_space_group_name_H-M 'P 4/m m m'
_symmetry_Int_Tables_number 123
_symmetry_space_group_name_Hall '-P 4 2'
loop_
_atom_site_label
_atom_site_type_symbol
_atom_site_fract_x
_atom_site_fract_y
_atom_site_fract_z
_atom_site_occupancy
Zr1 Zr 0.0000 0.0000 0.0000 1
Ir1 Ir 0.5000 0.5000 0.5000 1
Se1 Se 0.0000 0.0000 0.5000 1
Br1 Br 0.0000 0.5000 0.0000 1
# **Fermi-level density of states**: 1.242 states/eV/atom
# **Total moment**: 0.622 μB/atom
# **Theoretical density**: 5.9 g cm⁻³

---

(b)
# ZrIrSeBr2, optimized geometry, DFT PBE
data_ZrIrSeBr2
_cell_length_a 4.9630
_cell_length_b 4.9630
_cell_length_c 4.9702
_cell_angle_alpha 90.00
_cell_angle_beta 90.00
_cell_angle_gamma 90.00
_symmetry_space_group_name_H-M 'P 4/m m m'
_symmetry_Int_Tables_number 123
_symmetry_space_group_name_Hall '-P 4 2'
loop_
_atom_site_label
_atom_site_type_symbol
_atom_site_fract_x
_atom_site_fract_y
_atom_site_fract_z
_atom_site_occupancy
Zr1 Zr 0.0000 0.0000 0.0000 1
Ir1 Ir 0.5000 0.5000 0.5000 1
Se1 Se 0.5000 0.5000 0.0000 1
Br1 Br 0.0000 0.5000 0.5000 1
# **Fermi-level density of states**: 1.697 states/eV/atom
# **Total moment**: 0.017 μB/atom
# **Theoretical density**: 7.1 g cm⁻³

---

The structure with the greatest stability is (a).

---

(a)
# SiIrBr3, optimized geometry, DFT PBE
data_SiIrBr3
_cell_length_a 5.1400
_cell_length_b 5.1400
_cell_length_c 5.1400
_cell_angle_alpha 90.00
_cell_angle_beta 90.00
_cell_angle_gamma 90.00
_symmetry_space_group_name_H-M 'P m -3 m'
_symmetry_Int_Tables_number 221
_symmetry_space_group_name_Hall '-P 4 2 3'
loop_
_atom_site_label
_atom_site_type_symbol
_atom_site_fract_x
_atom_site_fract_y
_atom_site_fract_z
_atom_site_occupancy
Si1 Si 0.0000 0.0000 0.0000 1
Ir1 Ir 0.5000 0.5000 0.5000 1
Br1 Br 0.0000 0.0000 0.5000 1
# **Fermi-level density of states**: 1.750 states/eV/atom
# **Total moment**: 0.544 μB/atom
# **Theoretical density**: 5.6 g cm⁻³

---

(b)
# SiIrBr3, optimized geometry, DFT PBE
data_SiIrBr3
_cell_length_a 5.0589
_cell_length_b 5.0589
_cell_length_c 5.0589
_cell_angle_alpha 90.00
_cell_angle_beta 90.00
_cell_angle_gamma 90.00
_symmetry_space_group_name_H-M 'P m -3 m'
_symmetry_Int_Tables_number 221
_symmetry_space_group_name_Hall '-P 4 2 3'
loop_
_atom_site_label
_atom_site_type_symbol
_atom_site_fract_x
_atom_site_fract_y
_atom_site_fract_z
_atom_site_occupancy
Si1 Si 0.0000 0.0000 0.0000 1
Ir1 Ir 0.5000 0.5000 0.5000 1
Br1 Br 0.0000 0.5000 0.5000 1
# **Fermi-level density of states**: 0.552 states/eV/atom
# **Total moment**: 0.092 μB/atom
# **Theoretical density**: 5.9 g cm⁻³

---

The structure with the greatest stability is (b).